No. 1
Density functional theory data (PBE-GGA) for Sr3Pt7Au2 after structural relaxation.

Lattice parameters (Å, degrees): 5.5708 5.5708 9.6033 73.14 73.14 60.00
Fractional positions:
1 Sr 0.0000 0.0000 0.0000
2 Sr 0.8590 0.8590 0.4230
3 Sr 0.1410 0.1410 0.5770
4 Pt 0.5000 0.5000 0.5000
5 Pt 0.9171 0.4138 0.2553
6 Pt 0.4138 0.9171 0.2553
7 Pt 0.4138 0.4138 0.2553
8 Pt 0.0829 0.5862 0.7447
9 Pt 0.5862 0.5862 0.7447
10 Pt 0.5862 0.0829 0.7447
11 Au 0.6672 0.6672 0.9984
12 Au 0.3328 0.3328 0.0016

Properties
Its energy of formation from the pure elements is -0.71 eV/atom. The density of states at the Fermi level is 7.5 states/eV/cell.

No. 2
Density functional theory data (PBE-GGA) for CsSmPbI6 after structural relaxation.

Lattice parameters (Å, degrees): 8.2676 8.2676 8.4378 90.00 90.00 59.99
Fractional positions:
1 Cs 0.0000 0.0000 0.0000
2 Sm 0.3333 0.3333 0.5000
3 Pb 0.6666 0.6667 0.5000
4 I 0.0136 0.3691 0.2825
5 I 0.3691 0.0137 0.7174
6 I 0.6173 0.3691 0.7174
7 I 0.0135 0.6173 0.7174
8 I 0.3691 0.6173 0.2825
9 I 0.6173 0.0135 0.2825

Properties
The calculation puts the raw formation energy at -1205 meV/atom. The density of states at the Fermi level is 0.0 states/eV/cell.

No. 3
Density functional theory data (PBE-GGA) for Pr6Nd3Dy after structural relaxation.

Lattice parameters (Å, degrees): 6.9994 9.2282 6.7698 104.20 121.13 90.00
Fractional positions:
1 Pr 0.4265 0.3011 0.3786
2 Pr 0.0479 0.6989 0.6214
3 Pr 0.5735 0.6989 0.6214
4 Pr 0.9521 0.3011 0.3786
5 Pr 0.3753 0.0822 0.7506
6 Pr 0.6247 0.9178 0.2494
7 Nd 0.9235 0.3329 0.8469
8 Nd 0.0765 0.6671 0.1531
9 Nd 0.0000 0.0000 0.0000
10 Dy 0.5000 0.5000 0.0000

Properties
Its energy above the lowest structure with this stoichiometry is 73 meV/atom. Its energy of formation from the pure elements is 0.20 eV/atom. The density of states at the Fermi level is 17.4 states/eV/cell.

No. 4
Density functional theory data (PBE-GGA) for Os2Ru after structural relaxation.

Lattice parameters (Å, degrees): 12.1056 12.1056 12.1056 167.09 167.09 18.30
Fractional positions:
1 Os 0.4211 0.4211 0.0000
2 Os 0.5789 0.5789 0.0000
3 Os 0.1711 0.6711 0.5000
4 Os 0.3289 0.8289 0.5000
5 Ru 0.7500 0.2500 0.5000
6 Ru 0.0000 0.0000 0.0000

Properties
Its energy above the lowest structure with this stoichiometry is 405 meV/atom. Its energy of formation from the pure elements is 0.39 eV/atom. The density of states at the Fermi level is 7.1 states/eV/cell.

> Which formula does entry 4 have?

Os2Ru